Here is a geometry-optimized CsV2PbO8 structure from Alexandria via LeMat-Bulk. Energies are from PBE+U.

Structure (POSCAR):
```
CsV2PbO8
1.0
5.6168 0.0000 0.0000
-2.8084 4.8643 0.0000
0.0000 0.0000 8.7104
Cs O Pb V
1 8 1 2
Cartesian
0.0000 0.0000 0.0000
3.9309 0.3629 3.0391
1.1573 1.2786 3.0391
-0.5287 1.6415 5.6713
3.3371 3.2227 3.0391
2.8084 1.6214 0.8489
1.6511 3.5857 5.6713
-1.1224 4.5014 5.6713
0.0000 3.2429 7.8616
0.0000 0.0000 4.3552
0.0000 3.2429 6.1725
2.8084 1.6214 2.5379
```

Results
Total magnetization in μB/cell: 1.07
Calculated density in g/cm³: 3.98
Calculated total energy in eV/atom: -6.4009